DFT (GGA-PBE) results for a relaxed MnReTe4 crystal.

Cell and atoms, written as extended XYZ:
```
6
Lattice="0.0000 4.4189 4.4189 4.4189 0.0000 4.4189 4.4189 4.4189 0.0000" Properties=species:S:1:pos:R:3 pbc="T T T"
Mn 0.0000 0.0000 0.0000
Re 6.6283 6.6283 6.6283
Te 3.3159 3.3159 3.3159
Te 5.5219 5.5219 3.3159
Te 5.5219 3.3159 5.5219
Te 3.3159 5.5219 5.5219
```

Computed properties:
Formation energy without anion corrections, meV per atom: 1467.0
DOS at the Fermi energy, states/eV/f.u.: 2.2